[1]
A plane-wave DFT calculation with PBE was carried out for a geometry-optimized NaRe3Au structure.

Calculated values
Total moment, μB/f.u.: 2.0
Calculated volume, Å³ per atom: 23.638
E, Ry/atom: -0.4059
Crystal system: cubic
N(E_F), states/eV/atom: 1.39
Formation energy from the elements, eV per atom: 2.87

POSCAR file:
```
NaRe3Au
1.0
-0.573 -4.199 -2.474
4.772 -0.989 0.573
-0.989 -2.339 4.199
Re Au Na
3 1 1
Cartesian
2.386 -0.495 0.287
-0.287 -2.100 -1.237
-0.495 -1.170 2.100
0.000 0.000 0.000
1.605 -3.764 1.149
```

=====

[2]
A plane-wave DFT calculation with PBE was carried out for a geometry-optimized NaTaRe2Au structure.

Calculated values
Total moment, μB/f.u.: 3.1
Calculated volume, Å³ per atom: 24.690
E, Ry/atom: -0.4859
Crystal system: tetragonal
N(E_F), states/eV/atom: 0.80
Formation energy from the elements, eV per atom: 1.66

POSCAR file:
```
NaTaRe2Au
1.0
-2.833 2.352 -3.129
0.658 -3.890 -3.519
-3.868 -2.275 1.792
Au Ta Re Na
1 1 2 1
Cartesian
0.329 -1.945 -1.759
0.000 0.000 0.000
-1.417 1.176 -1.565
-1.934 -1.138 0.896
-3.022 -1.907 -2.428
```

=====

[3]
A plane-wave DFT calculation with PBE was carried out for a geometry-optimized Na2TaReAu structure.

Calculated values
Total moment, μB/f.u.: 7.6
Calculated volume, Å³ per atom: 33.391
E, Ry/atom: -0.2693
Crystal system: tetragonal
N(E_F), states/eV/atom: 1.02
Formation energy from the elements, eV per atom: 2.38

POSCAR file:
```
Na2TaReAu
1.0
5.751 0.000 0.000
0.000 5.048 0.000
0.000 0.000 5.751
Ta Au Na Re
1 1 2 1
Cartesian
0.000 0.000 0.000
0.000 2.524 0.000
0.000 0.000 2.876
2.876 0.000 0.000
2.876 2.524 2.876
```

=====

[4]
A plane-wave DFT calculation with PBE was carried out for a geometry-optimized NaReWAu2 structure.

Calculated values
Total moment, μB/f.u.: 1.1
Calculated volume, Å³ per atom: 25.408
E, Ry/atom: -0.4024
Crystal system: tetragonal
N(E_F), states/eV/atom: 0.88
Formation energy from the elements, eV per atom: 1.18

POSCAR file:
```
NaReWAu2
1.0
-3.050 -1.796 3.813
3.609 -2.451 1.732
1.329 4.057 2.973
Au Re Na W
2 1 1 1
Cartesian
-1.525 -0.898 1.907
0.664 2.029 1.487
0.000 0.000 0.000
0.944 -0.095 4.259
1.804 -1.226 0.866
```